Entry from Alexandria via LeMat-Bulk: an optimized crystal structure of SnH2Br (GGA-PBE).

```
16
Lattice="-3.3801 -0.7193 -0.9225 3.0232 -4.8409 -7.3029 1.2263 -9.3017 2.7600" Properties=species:S:1:pos:R:3 pbc="T T T"
Sn 0.1183 -4.7542 -3.6612
Sn -2.4699 -7.3442 0.9091
Sn 0.7511 -10.1077 -1.8041
Sn 3.3393 -7.5177 -6.3744
Br 1.4905 -5.4234 -1.2337
Br -1.0564 -2.0076 -1.4991
Br -0.6211 -9.4385 -4.2316
Br 1.9259 -12.8543 -3.9662
H 0.2209 -8.6342 -1.0092
H 1.7350 -3.6289 -3.5306
H 1.7215 -8.6433 -6.5053
H 2.8086 -6.0444 -5.5796
H -1.9392 -8.8176 0.1143
H -0.8656 -11.2331 -1.9347
H 0.6485 -6.2277 -4.4561
H -0.8521 -6.2186 1.0400
```

Values from the calculation:
Electronic total energy, eV per formula unit: -12.2
Energy above the lowest structure with this stoichiometry, meV/atom: 0
Crystal system: monoclinic
Fermi-level density of states, states/eV/f.u.: 0.5
Size of the total moment, Bohr magnetons per cell: 0.000

---

Entry from Alexandria via LeMat-Bulk: an optimized crystal structure of Sm6Te5Pt (GGA-PBE).

```
12
Lattice="0.3490 1.5417 -7.4946 2.6438 -7.5681 3.7636 -7.5822 0.4879 1.0626" Properties=species:S:1:pos:R:3 pbc="T T T"
Sm -3.3296 -3.0427 -3.2891
Sm -1.2598 -2.4957 0.6208
Sm 2.2338 -5.0360 -1.0925
Sm 0.7590 -0.9903 -2.6385
Sm 0.1821 -6.6166 2.6519
Sm -4.7715 1.0782 -5.3203
Te -4.0862 -1.6955 -0.5391
Te -0.5032 -3.8429 -2.1293
Te 1.3219 -3.7840 1.8818
Te -2.5827 -5.4042 1.3667
Te -2.0066 -0.1342 -4.0351
Pt 0.0000 0.0000 0.0000
```

Values from the calculation:
Electronic total energy, eV per formula unit: -66.7
Uncorrected formation energy, eV per atom: -1.385
Crystal system: monoclinic
Fermi-level density of states, states/eV/f.u.: 5.6
Size of the total moment, Bohr magnetons per cell: 0.000

---

Question: What is the formula in the second record?
Answer: Sm6Te5Pt

---

Question: What is the formula in the first record?
Answer: SnH2Br

---

Question: Among the records above, which one has the highest Fermi-level density of states?
Answer: Sm6Te5Pt

---

Question: Look up the electronic total energy of the second one.
Answer: -66.7 eV per formula unit